Entry 1:
This record from Alexandria describes a geometry-optimized Sr2TlCr structure. The functional is GGA-PBE.

Results
Its formation energy is 0.477 eV/atom. Its density is 4.88 g/cm³.

a b c (Å): 8.9916 8.9916 7.2637
angles (deg): 90.00 90.00 90.00
With the nearest neighbours (Å) after each atom.
Space group I-42d (No. 122)
Symmetry-distinct sites (fractional):
Sr 0.2440 0.2500 0.1250 x8  2 Cr 3.27, 2 Tl 3.34, 2 Sr 3.63
Tl 0.0000 0.0000 0.5000 x4  4 Sr 3.34, 2 Cr 3.63
Cr 0.0000 0.0000 0.0000 x4  4 Sr 3.27, 2 Tl 3.63

=====

Entry 2:
This record from Alexandria describes a geometry-optimized AlCd3 structure. The functional is GGA-PBE.

Results
Its formation energy is 0.103 eV/atom. Its density is 7.09 g/cm³.

a b c (Å): 6.2126 8.7961 3.1211
angles (deg): 90.00 90.00 90.00
With the nearest neighbours (Å) after each atom.
Space group Cmmm (No. 65)
Symmetry-distinct sites (fractional):
Al 0.0000 0.0000 0.0000 x2  10 Cd 3.11, 2 Al 3.12
Cd 0.0000 0.5000 0.0000 x2  2 Al 3.11, 10 Cd 3.11-3.12
Cd 0.2500 0.2500 0.5000 x4  8 Cd 3.11-3.12, 4 Al 3.11

=====

Entry 3:
This record from Alexandria describes a geometry-optimized Pm4CoIr structure. The functional is GGA-PBE.

Results
Its formation energy is -0.286 eV/atom. Its density is 8.29 g/cm³. The calculation puts the distance to the lowest polymorph of the same formula at 0.14 eV per formula unit.

a b c (Å): 6.9299 6.9441 6.9226
angles (deg): 90.00 92.07 90.00
With the nearest neighbours (Å) after each atom.
Space group P2_1/c (No. 14)
Symmetry-distinct sites (fractional):
Pm 0.1678 0.1721 0.1819 x4  2 Co 2.80-2.83, 1 Ir 2.92
Pm 0.3254 0.6651 0.1553 x4  1 Co 2.72, 2 Ir 2.85-2.87
Co 0.0000 0.0000 0.5000 x2  6 Pm 2.72-2.83
Ir 0.5000 0.0000 0.0000 x2  6 Pm 2.85-2.92

=====

Entry 4:
This record from Alexandria describes a geometry-optimized ZrCuOs3 structure. The functional is GGA-PBE.

Results
Its formation energy is 2.646 eV/atom. Its density is 10.70 g/cm³. The calculation puts the distance to the lowest polymorph of the same formula at 6.54 eV per formula unit.

a b c (Å): 4.8290 4.8290 4.8290
angles (deg): 90.00 90.00 90.00
With the nearest neighbours (Å) after each atom.
Space group Pm-3m (No. 221)
Symmetry-distinct sites (fractional):
Zr 0.0000 0.0000 0.0000 x1  6 Os 2.41
Cu 0.5000 0.5000 0.5000 x1  12 Os 3.41
Os 0.0000 0.0000 0.5000 x3  2 Zr 2.41

=====

Entry 5:
This record from Alexandria describes a geometry-optimized LaNdCd structure. The functional is GGA-PBE.

Results
Its formation energy is -0.113 eV/atom. Its density is 7.19 g/cm³. The calculation puts the distance to the lowest polymorph of the same formula at 0.26 eV per formula unit.

a b c (Å): 5.3778 5.3778 3.6482
angles (deg): 90.00 90.00 120.00
With the nearest neighbours (Å) after each atom.
Space group P3m1 (No. 156)
Symmetry-distinct sites (fractional):
La 0.0000 0.0000 0.0000 x1  3 Cd 3.34, 3 Nd 3.40, 2 La 3.65
Nd 0.6667 0.3333 0.6226 x1  3 Cd 3.27, 3 La 3.40, 2 Nd 3.65
Cd 0.3333 0.6667 0.3398 x1  3 Nd 3.27, 3 La 3.34, 2 Cd 3.65

=====

Entry 6:
This record from Alexandria describes a geometry-optimized TlPd3Pb3 structure. The functional is GGA-PBE.

Results
Its formation energy is -0.150 eV/atom. Its density is 11.29 g/cm³. The calculation puts the distance to the lowest polymorph of the same formula at 0.00 eV per formula unit.

a b c (Å): 8.5060 8.5060 16.1275
angles (deg): 90.00 90.00 120.00
With the nearest neighbours (Å) after each atom.
Space group R-3 (No. 148, hexagonal axes)
Symmetry-distinct sites (fractional):
Tl 0.0000 0.0000 0.1616 x6  6 Pd 2.80-2.91
Pd 0.0103 0.3217 0.7910 x18  4 Pb 2.79-3.03, 2 Tl 2.80-2.91, 1 Pd 2.91
Pb 0.0259 0.2485 0.6195 x18  4 Pd 2.79-3.03

=====

Entry 7:
This record from Alexandria describes a geometry-optimized Sr3Tm2NpN6 structure. The functional is GGA-PBE.

Results
The value obtained for the raw formation energy is -14.92 eV per formula unit. Its density is 8.03 g/cm³.

a b c (Å): 6.0680 10.5073 6.3155
angles (deg): 90.00 108.69 90.00
With the nearest neighbours (Å) after each atom.
Space group C2/m (No. 12)
Symmetry-distinct sites (fractional):
Sr 0.0000 0.0000 0.0000 x2  6 N 2.64-2.81
Sr 0.0000 0.3319 0.0000 x4  6 N 2.64-2.79
Tm 0.0000 0.1666 0.5000 x4  6 N 2.42
Np 0.0000 0.5000 0.5000 x2  6 N 2.23-2.24
N 0.2225 0.3449 0.7028 x8  1 Np 2.24, 2 Tm 2.42
N 0.2416 0.5000 0.2982 x4  1 Np 2.23, 2 Tm 2.42

=====

Entry 8:
This record from Alexandria describes a geometry-optimized RbCrAg structure. The functional is GGA-PBE.

Results
Its formation energy is 0.743 eV/atom. Its density is 4.79 g/cm³. The calculation puts the distance to the lowest polymorph of the same formula at 0.40 eV per formula unit.

a b c (Å): 9.4764 3.0422 11.7936
angles (deg): 90.00 90.00 90.00
With the nearest neighbours (Å) after each atom.
Space group Pnma (No. 62)
Symmetry-distinct sites (fractional):
Rb 0.0885 0.2500 0.1802 x4  2 Rb 3.04
Cr 0.0625 0.2500 0.5332 x4  2 Cr 2.08
Ag 0.2488 0.2500 0.9173 x4  3 Cr 2.72-3.03, 2 Ag 3.04

=====

Number 1: DOS(E_F) 3.0 states/eV/f.u.. Number 2: DOS(E_F) 1.2 states/eV/f.u.. Number 3: DOS(E_F) 5.2 states/eV/f.u.. Number 4: DOS(E_F) 6.8 states/eV/f.u.. Number 5: DOS(E_F) 3.4 states/eV/f.u.. Number 6: DOS(E_F) 2.7 states/eV/f.u.. Number 7: DOS(E_F) 0.0 states/eV/f.u.. Number 8: DOS(E_F) 2.4 states/eV/f.u..